K2LaSmSe4: relaxed, PBE-GGA.

CIF file:
```
data_K2LaSmSe4
_cell_length_a 7.573
_cell_length_b 4.371
_cell_length_c 8.095
_cell_angle_alpha 90.00
_cell_angle_beta 108.13
_cell_angle_gamma 90.00
_symmetry_space_group_name_H-M 'P 1 2/m 1'
_symmetry_Int_Tables_number 10
_symmetry_space_group_name_Hall '-P 2y'
loop_
_atom_site_label
_atom_site_fract_x
_atom_site_fract_y
_atom_site_fract_z
K1 0.000 0.000 0.000
K2 0.500 0.500 0.000
La1 0.000 0.500 0.500
Sm1 0.500 0.000 0.500
Se1 0.243 0.000 0.711
Se2 0.269 0.500 0.291
```

Computed properties:
Formation energy from raw total energies = -1794 meV per atom
Raw total energy = -5.02 eV per atom